# 1
Material: Pm2ScSn
Method: DFT, GGA-PBE
State: relaxed

Calculated values
- V (Å³/atom) = 28.583
- formation energy (eV/atom) = -0.374
- relative energy among the computed polymorphs (meV/atom) = 44
- SG = No. 123
- total magnetic moment (μB/cell) = 0.0

Structure (POSCAR):
```
Pm2ScSn
1.0
4.2037 0.0000 0.0000
0.0000 4.2037 0.0000
0.0000 0.0000 6.4701
Pm Sc Sn
2 1 1
direct
0.0000 0.0000 0.2381
0.0000 0.0000 0.7619
0.5000 0.5000 0.5000
0.5000 0.5000 0.0000
```

=====

# 2
Material: Pm2ScSn
Method: DFT, GGA-PBE
State: relaxed

Calculated values
- V (Å³/atom) = 28.670
- formation energy (eV/atom) = -0.402
- relative energy among the computed polymorphs (meV/atom) = 17
- SG = No. 69
- total magnetic moment (μB/cell) = 0.0

Structure (POSCAR):
```
Pm2ScSn
1.0
0.0000 5.0694 5.3958
4.1925 0.0000 5.3958
4.1925 5.0694 0.0000
Pm Sc Sn
4 2 2
direct
0.1980 0.8020 0.8020
0.2500 0.2500 0.2500
0.7500 0.7500 0.7500
0.8020 0.1980 0.1980
0.2974 0.7026 0.2974
0.7026 0.2974 0.7026
0.2899 0.2899 0.7101
0.7101 0.7101 0.2899
```

=====

# 3
Material: PmSc2Sn
Method: DFT, GGA-PBE
State: relaxed

Calculated values
- V (Å³/atom) = 25.191
- formation energy (eV/atom) = -0.403
- relative energy among the computed polymorphs (meV/atom) = 61
- SG = No. 123
- total magnetic moment (μB/cell) = 0.4

Structure (POSCAR):
```
PmSc2Sn
1.0
4.6820 0.0000 0.0000
0.0000 4.6820 0.0000
0.0000 0.0000 4.5966
Pm Sc Sn
1 2 1
direct
0.0000 0.0000 0.0000
0.0000 0.5000 0.5000
0.5000 0.0000 0.5000
0.5000 0.5000 0.0000
```